No. 1
The following is a DFT calculation (PBE) of crystalline TaH3Os at its relaxed geometry.

Cell lengths 3.528, 3.528, 3.528 Å; angles 90.00, 90.00, 90.00 degrees
Each line ends with the local moment (μB).
Fractional coordinates of all 5 atoms:
1 H 0.000 0.500 0.000  0.01
2 H 0.000 0.000 0.500  0.01
3 H 0.500 0.000 0.000  0.01
4 Os 0.500 0.500 0.500  1.44
5 Ta 0.000 0.000 0.000  0.08

Results
For the calculated total energy, the calculation gives -5.909 eV per atom. Its space group is Pm-3m, No. 221.

=====

No. 2
The following is a DFT calculation (PBE) of crystalline TaHOs at its relaxed geometry.

Cell lengths 3.060, 3.060, 7.677 Å; angles 90.00, 90.00, 90.00 degrees
Fractional coordinates of all 6 atoms:
1 Ta 0.000 0.500 0.824
2 Ta 0.500 0.000 0.176
3 H 0.000 0.000 0.000
4 H 0.500 0.500 0.000
5 Os 0.000 0.500 0.376
6 Os 0.500 0.000 0.624

Results
For the calculated total energy, the calculation gives -8.886 eV per atom. Its space group is P4/nmm, No. 129. Its distance to the lowest polymorph of the same formula is 0 meV per atom.

=====

No. 3
The following is a DFT calculation (PBE) of crystalline TaH2Os2 at its relaxed geometry.

Cell lengths 2.927, 2.927, 6.539 Å; angles 77.06, 77.06, 90.00 degrees
Fractional coordinates of all 5 atoms:
1 H 0.750 0.250 0.500
2 H 0.250 0.750 0.500
3 Os 0.350 0.350 0.301
4 Os 0.650 0.650 0.699
5 Ta 0.000 0.000 0.000

Results
For the calculated total energy, the calculation gives -8.024 eV per atom. Its space group is I4/mmm, No. 139.

=====

No. 4
The following is a DFT calculation (PBE) of crystalline TaHOs3 at its relaxed geometry.

Cell lengths 2.823, 4.913, 4.913 Å; angles 109.28, 90.00, 90.00 degrees
Fractional coordinates of all 5 atoms:
1 H 0.500 0.021 0.979
2 Os 0.500 0.155 0.369
3 Os 0.500 0.631 0.845
4 Os 0.000 0.172 0.828
5 Ta 0.000 0.649 0.351

Results
For the calculated total energy, the calculation gives -9.713 eV per atom. Its space group is Amm2, No. 38. Its distance to the lowest polymorph of the same formula is 158 meV per atom.

=====

No. 5
The following is a DFT calculation (PBE) of crystalline TaHOs3 at its relaxed geometry.

Cell lengths 4.963, 5.647, 5.579 Å; angles 90.00, 55.06, 90.00 degrees
Fractional coordinates of all 10 atoms:
1 H 0.715 0.250 0.673
2 H 0.285 0.750 0.327
3 Os 0.520 0.019 0.246
4 Os 0.480 0.981 0.754
5 Os 0.520 0.481 0.246
6 Os 0.480 0.519 0.754
7 Os 0.027 0.250 0.753
8 Os 0.973 0.750 0.247
9 Ta 0.011 0.250 0.240
10 Ta 0.989 0.750 0.760

Results
For the calculated total energy, the calculation gives -9.775 eV per atom. Its space group is P2_1/m, No. 11. Its distance to the lowest polymorph of the same formula is 96 meV per atom.

=====

No. 6
The following is a DFT calculation (PBE) of crystalline TaHOs3 at its relaxed geometry.

Cell lengths 22.754, 9.049, 9.049 Å; angles 161.80, 164.10, 15.90 degrees
Fractional coordinates of all 10 atoms:
1 H 0.645 0.273 0.727
2 H 0.355 0.727 0.273
3 Os 0.288 0.710 0.290
4 Os 0.712 0.290 0.710
5 Os 0.857 0.477 0.523
6 Os 0.143 0.523 0.477
7 Os 0.385 0.829 0.171
8 Os 0.615 0.171 0.829
9 Ta 0.837 0.766 0.234
10 Ta 0.163 0.234 0.766

Results
For the calculated total energy, the calculation gives -9.514 eV per atom. Its space group is C2/m, No. 12. Its distance to the lowest polymorph of the same formula is 357 meV per atom.

=====

No. 7
The following is a DFT calculation (PBE) of crystalline TaHOs3 at its relaxed geometry.

Cell lengths 5.059, 5.059, 5.059 Å; angles 94.52, 94.52, 94.52 degrees
Fractional coordinates of all 10 atoms:
1 H 0.250 0.250 0.250
2 H 0.750 0.750 0.750
3 Os 0.958 0.542 0.250
4 Os 0.542 0.250 0.958
5 Os 0.250 0.958 0.542
6 Os 0.750 0.042 0.458
7 Os 0.458 0.750 0.042
8 Os 0.042 0.458 0.750
9 Ta 0.000 0.000 0.000
10 Ta 0.500 0.500 0.500

Results
For the calculated total energy, the calculation gives -9.635 eV per atom. Its space group is R-3c, No. 167. Its distance to the lowest polymorph of the same formula is 236 meV per atom.

=====

No. 8
The following is a DFT calculation (PBE) of crystalline Ta2H2Os at its relaxed geometry.

Cell lengths 2.985, 2.985, 6.601 Å; angles 76.93, 76.93, 90.00 degrees
Fractional coordinates of all 5 atoms:
1 H 0.750 0.250 0.500
2 H 0.250 0.750 0.500
3 Os 0.000 0.000 0.000
4 Ta 0.357 0.357 0.286
5 Ta 0.643 0.643 0.714

Results
For the calculated total energy, the calculation gives -8.568 eV per atom. Its space group is I4/mmm, No. 139. Its distance to the lowest polymorph of the same formula is 0 meV per atom.

=====

No. 9
The following is a DFT calculation (PBE) of crystalline TaHOs3 at its relaxed geometry.

Cell lengths 19.639, 4.338, 6.515 Å; angles 90.00, 151.73, 90.00 degrees
Fractional coordinates of all 20 atoms:
1 H 0.500 0.730 0.510
2 H 0.500 0.270 0.490
3 H 0.000 0.230 0.990
4 H 0.000 0.770 0.010
5 Os 0.358 0.999 0.057
6 Os 0.642 0.001 0.943
7 Os 0.142 0.499 0.443
8 Os 0.858 0.501 0.557
9 Os 0.314 0.500 0.216
10 Os 0.686 0.500 0.784
11 Os 0.186 0.000 0.284
12 Os 0.814 0.000 0.716
13 Os 0.406 0.000 0.608
14 Os 0.594 0.000 0.392
15 Os 0.094 0.500 0.892
16 Os 0.906 0.500 0.108
17 Ta 0.123 0.000 0.682
18 Ta 0.877 0.000 0.318
19 Ta 0.377 0.500 0.818
20 Ta 0.623 0.500 0.182

Results
For the calculated total energy, the calculation gives -9.657 eV per atom. Its space group is P2_1/c, No. 14. Its distance to the lowest polymorph of the same formula is 214 meV per atom.

=====

No. 10
The following is a DFT calculation (PBE) of crystalline TaHOs3 at its relaxed geometry.

Cell lengths 5.307, 4.896, 5.669 Å; angles 90.73, 105.33, 116.77 degrees
Fractional coordinates of all 10 atoms:
1 H 0.563 0.582 0.625
2 H 0.027 0.332 0.484
3 Os 0.791 0.873 0.921
4 Os 0.801 0.374 0.165
5 Os 0.291 0.797 0.544
6 Os 0.274 0.780 0.044
7 Os 0.792 0.362 0.677
8 Os 0.291 0.279 0.294
9 Ta 0.305 0.290 0.818
10 Ta 0.770 0.854 0.399

Results
For the calculated total energy, the calculation gives -9.847 eV per atom. Its space group is P1, No. 1. Its distance to the lowest polymorph of the same formula is 24 meV per atom.

=====

No. 11
The following is a DFT calculation (PBE) of crystalline TaHOs3 at its relaxed geometry.

Cell lengths 5.329, 4.929, 5.628 Å; angles 90.22, 105.13, 62.48 degrees
Fractional coordinates of all 10 atoms:
1 H 0.045 0.785 0.740
2 H 0.547 0.552 0.357
3 Os 0.788 0.081 0.918
4 Os 0.805 0.566 0.172
5 Os 0.291 0.493 0.546
6 Os 0.278 0.496 0.045
7 Os 0.784 0.573 0.679
8 Os 0.283 0.003 0.302
9 Ta 0.313 0.996 0.808
10 Ta 0.771 0.073 0.405

Results
For the calculated total energy, the calculation gives -9.854 eV per atom. Its space group is P1, No. 1. Its distance to the lowest polymorph of the same formula is 16 meV per atom.

=====

No. 12
The following is a DFT calculation (PBE) of crystalline TaHOs3 at its relaxed geometry.

Cell lengths 4.616, 4.616, 9.879 Å; angles 76.49, 76.49, 90.00 degrees
Fractional coordinates of all 10 atoms:
1 H 0.642 0.142 0.716
2 H 0.858 0.358 0.284
3 Os 0.123 0.878 0.244
4 Os 0.122 0.877 0.756
5 Os 0.122 0.367 0.756
6 Os 0.633 0.878 0.244
7 Os 0.344 0.344 0.313
8 Os 0.656 0.656 0.687
9 Ta 0.000 0.000 0.000
10 Ta 0.250 0.750 0.500

Results
For the calculated total energy, the calculation gives -8.233 eV per atom. Its space group is I-4m2, No. 119. Its distance to the lowest polymorph of the same formula is 1638 meV per atom.

=====

no.,N(E_F) (states/eV/f.u.)
1,1.68
2,1.75
3,2.99
4,3.90
5,3.33
6,3.27
7,3.82
8,3.47
9,2.30
10,2.84
11,2.46
12,5.18